[1]
Crystalline LaGe2As2 at its relaxed geometry, computed with PBE.

POSCAR file:
```
LaGe2As2
1.0
-6.529 2.053 3.775
0.460 -6.493 4.327
2.201 1.976 2.732
As Ge La
4 4 2
direct
0.384 0.884 0.000
0.884 0.616 0.000
0.616 0.116 0.000
0.116 0.384 0.000
0.242 0.742 0.500
0.742 0.758 0.500
0.758 0.258 0.500
0.258 0.242 0.500
0.000 0.000 0.000
0.500 0.500 0.000
```

Calculated values
- Spin magnetization: 0.00 Bohr magnetons per cell
- Energy of formation: -0.304 eV per atom

***

[2]
Crystalline NaTl2Pd4 at its relaxed geometry, computed with PBE.

POSCAR file:
```
NaTl2Pd4
1.0
-3.675 1.647 -2.079
-4.285 -6.054 2.776
-1.768 4.217 6.466
Na Tl Pd
2 4 8
direct
0.500 0.000 0.000
0.000 0.500 0.500
0.000 0.213 0.787
0.000 0.787 0.213
0.500 0.713 0.713
0.500 0.287 0.287
0.000 0.113 0.374
0.000 0.887 0.626
0.500 0.126 0.613
0.500 0.874 0.387
0.500 0.387 0.874
0.500 0.613 0.126
0.000 0.374 0.113
0.000 0.626 0.887
```

Calculated values
- Energy relative to the lowest polymorph listed for this composition: 0 kJ/mol of formula units
- Spin magnetization: 0.00 Bohr magnetons per cell
- Energy of formation: -0.195 eV per atom

***

[3]
Crystalline Nd4Dy5Er2 at its relaxed geometry, computed with PBE.

POSCAR file:
```
Nd4Dy5Er2
1.0
5.498 0.000 -1.341
-0.320 6.509 -1.313
-0.518 1.804 9.817
Nd Dy Er
4 5 2
direct
0.306 0.929 0.612
0.981 0.712 0.961
0.694 0.071 0.388
0.019 0.288 0.039
0.792 0.597 0.583
0.208 0.403 0.417
0.870 0.109 0.740
0.500 0.000 0.000
0.130 0.891 0.260
0.402 0.446 0.805
0.598 0.554 0.195
```

Calculated values
- Energy relative to the lowest polymorph listed for this composition: 0 kJ/mol of formula units
- Spin magnetization: 0.00 Bohr magnetons per cell
- Energy of formation: 0.108 eV per atom

***

[4]
Crystalline CdW2Cl at its relaxed geometry, computed with PBE.

POSCAR file:
```
CdW2Cl
1.0
-1.126 -0.456 2.495
0.731 -4.887 -0.564
4.878 0.466 2.286
Cl W Cd
1 2 1
direct
0.500 0.500 0.750
0.000 0.000 0.018
0.000 0.000 0.482
0.500 0.500 0.250
```

Calculated values
- Energy relative to the lowest polymorph listed for this composition: 374 kJ/mol of formula units
- Spin magnetization: 0.00 Bohr magnetons per cell

***

[5]
Crystalline PaCu2AuO6 at its relaxed geometry, computed with PBE.

POSCAR file:
```
PaCu2AuO6
1.0
-3.547 4.113 -1.088
-5.094 -3.781 2.219
0.220 1.919 6.437
Pa Cu Au O
2 4 2 12
direct
0.250 0.338 0.662
0.750 0.662 0.338
0.252 0.837 0.662
0.248 0.338 0.163
0.748 0.163 0.338
0.752 0.662 0.837
0.250 0.850 0.150
0.750 0.150 0.850
0.029 0.053 0.688
0.471 0.312 0.947
0.971 0.947 0.312
0.529 0.688 0.053
0.526 0.947 0.313
0.974 0.687 0.053
0.474 0.053 0.687
0.026 0.313 0.947
0.002 0.632 0.631
0.498 0.369 0.368
0.998 0.368 0.369
0.502 0.631 0.632
```

Calculated values
- Spin magnetization: 0.00 Bohr magnetons per cell
- Electronic total energy: -128.6 eV per cell

***

[6]
Crystalline Cd5Mo4 at its relaxed geometry, computed with PBE.

POSCAR file:
```
Cd5Mo4
1.0
-5.031 5.031 1.653
5.031 -5.031 1.653
5.031 5.031 -1.653
Cd Mo
5 4
direct
0.000 0.000 0.000
0.332 0.332 0.664
0.332 0.668 0.000
0.668 0.332 0.000
0.668 0.668 0.336
0.000 0.353 0.353
0.000 0.647 0.647
0.353 0.000 0.353
0.647 0.000 0.647
```

Calculated values
- Spin magnetization: 0.00 Bohr magnetons per cell
- Energy of formation: 0.300 eV per atom

***

[7]
Crystalline VReSe2N at its relaxed geometry, computed with PBE.

POSCAR file:
```
VReSe2N
1.0
-3.468 -1.746 -3.067
1.789 -4.577 0.582
-2.182 -0.503 2.754
Re N Se V
1 1 2 1
direct
0.500 0.500 0.500
0.000 0.000 0.500
0.000 0.500 0.000
0.500 0.000 0.000
0.000 0.000 0.000
```

Calculated values
- Energy relative to the lowest polymorph listed for this composition: 35 kJ/mol of formula units
- Spin magnetization: 3.52 Bohr magnetons per cell

***

[8]
Crystalline Ba12Ag3Pd5 at its relaxed geometry, computed with PBE.

POSCAR file:
```
Ba12Ag3Pd5
1.0
16.832 0.000 0.000
-5.611 15.870 0.000
-5.611 -7.935 13.744
Ag Pd Ba
12 20 48
direct
0.750 0.375 0.125
0.875 0.750 0.125
0.375 0.750 0.625
0.250 0.125 0.375
0.875 0.125 0.250
0.375 0.625 0.250
0.625 0.375 0.750
0.125 0.875 0.750
0.750 0.875 0.625
0.625 0.250 0.375
0.125 0.250 0.875
0.250 0.625 0.875
0.125 0.375 0.250
0.000 0.500 0.000
0.000 0.000 0.000
0.375 0.250 0.125
0.500 0.000 0.500
0.500 0.500 0.000
0.125 0.750 0.375
0.750 0.125 0.875
0.750 0.625 0.375
0.375 0.125 0.750
0.625 0.875 0.250
0.500 0.500 0.500
0.500 0.000 0.000
0.000 0.000 0.500
0.250 0.375 0.625
0.250 0.875 0.125
0.000 0.500 0.500
0.875 0.250 0.625
0.625 0.750 0.875
0.875 0.625 0.750
0.711 0.123 0.035
0.323 0.535 0.412
0.965 0.377 0.289
0.535 0.211 0.123
0.588 0.711 0.677
0.965 0.588 0.177
0.323 0.789 0.412
0.088 0.912 0.123
0.588 0.965 0.677
0.711 0.588 0.177
0.789 0.465 0.377
0.823 0.912 0.035
0.123 0.711 0.535
0.377 0.412 0.088
0.088 0.912 0.377
0.412 0.123 0.588
0.088 0.177 0.211
0.465 0.677 0.088
0.823 0.912 0.289
0.123 0.412 0.088
0.377 0.965 0.789
0.588 0.623 0.412
0.912 0.823 0.535
0.789 0.323 0.912
0.412 0.377 0.588
0.088 0.177 0.465
0.211 0.677 0.088
0.177 0.088 0.711
0.623 0.035 0.211
0.877 0.588 0.912
0.535 0.323 0.912
0.588 0.877 0.412
0.912 0.823 0.789
0.912 0.088 0.623
0.877 0.289 0.465
0.177 0.088 0.965
0.623 0.588 0.912
0.412 0.035 0.323
0.289 0.412 0.823
0.211 0.535 0.623
0.912 0.088 0.877
0.677 0.211 0.588
0.465 0.789 0.877
0.035 0.412 0.823
0.412 0.289 0.323
0.035 0.623 0.711
0.677 0.465 0.588
0.289 0.877 0.965
```

Calculated values
- Spin magnetization: 0.00 Bohr magnetons per cell
- Energy of formation: -0.208 eV per atom

***

> spin magnetization of number 4 (CdW2Cl)?

0.00 Bohr magnetons per cell